RhS2Cl | GGA-PBE | optimized geometry

For the formation energy without anion corrections, the calculation gives 0.69 eV/atom.

It has space group Fm-3m (No. 225), with a = 6.274 Å, b = 6.274 Å, c = 6.274 Å, α = 90.00°, β = 90.00° and γ = 90.00°. Symmetry generates all atoms from Rh at (0.000, 0.000, 0.000), S at (0.250, 0.250, 0.250) and Cl at (0.000, 0.000, 0.500).


HgAsCBr2 | GGA-PBE | optimized geometry

For the formation energy without anion corrections, the calculation gives 1.83 eV/atom.

It has space group P4/mmm (No. 123), with a = 5.587 Å, b = 5.587 Å, c = 5.341 Å, α = 90.00°, β = 90.00° and γ = 90.00°. Symmetry generates all atoms from Hg at (0.000, 0.000, 0.000), As at (0.000, 0.000, 0.500), C at (0.500, 0.500, 0.500) and Br at (0.000, 0.500, 0.000).


RbCdHgAu | GGA-PBE | optimized geometry

The energy of formation from the pure elements comes out at -0.21 eV per atom.

It has space group R3m (No. 160, hexagonal axes), with a = 4.9052 Å, b = 4.9052 Å, c = 18.9704 Å, α = 90.00°, β = 90.00° and γ = 120.00°. Symmetry generates all atoms from Rb at (0.0000, 0.0000, 0.0000), Cd at (0.0000, 0.0000, 0.7975), Hg at (0.0000, 0.0000, 0.2030) and Au at (0.0000, 0.0000, 0.4804).


VBiPS2 | GGA-PBE | optimized geometry

For the formation energy without anion corrections, the calculation gives -0.01 eV/atom.

It has space group P4/mmm (No. 123), with a = 4.491 Å, b = 4.491 Å, c = 5.022 Å, α = 90.00°, β = 90.00° and γ = 90.00°. Symmetry generates all atoms from V at (0.000, 0.000, 0.000), Bi at (0.500, 0.500, 0.500), P at (0.000, 0.000, 0.500) and S at (0.000, 0.500, 0.000).


| no. | DFT total energy (eV per atom) | excess energy over the best structure of this formula in the dataset (eV per atom) | calculated volume (A^3/atom) |
| --- | --- | --- | --- |
| 1 | -3.68 | 0.998 | 15.44 |
| 2 | -1.68 | 0.755 | 33.35 |
| 3 | -1.57 | 0.000 | 32.94 |
| 4 | -5.34 | 0.000 | 20.25 |